# PBE-GGA Rb4Nd3TaSe8, optimized geometry
data_Rb4Nd3TaSe8
_chemical_formula_sum 'Rb4 Nd3 Ta1 Se8'
_symmetry_space_group_name_H-M 'P 1'
_symmetry_Int_Tables_number 1
_cell_length_a 8.493
_cell_length_b 9.416
_cell_length_c 8.494
_cell_angle_alpha 116.84
_cell_angle_beta 119.99
_cell_angle_gamma 90.00
loop_
_symmetry_equiv_pos_as_xyz
'x,y,z'
loop_
_atom_site_label
_atom_site_fract_x
_atom_site_fract_y
_atom_site_fract_z
Rb1 0.500 0.000 0.000
Rb2 0.500 0.000 0.500
Rb3 0.000 0.000 0.000
Rb4 0.000 0.000 0.500
Nd1 0.500 0.500 0.000
Nd2 0.500 0.500 0.500
Nd3 0.000 0.500 0.500
Ta1 0.000 0.500 0.000
Se1 0.218 0.694 0.976
Se2 0.218 0.694 0.437
Se3 0.264 0.294 0.529
Se4 0.758 0.694 0.976
Se5 0.242 0.306 0.024
Se6 0.736 0.706 0.471
Se7 0.782 0.306 0.563
Se8 0.782 0.306 0.024
# **Calculated density**: 5.25 Mg/m³
# **Formation energy without anion corrections**: -1.4314 eV per atom
# **Raw total energy**: -80.80 eV for the cell shown



# PBE-GGA BaTa2, optimized geometry
data_BaTa2
_chemical_formula_sum 'Ba4 Ta8'
_symmetry_space_group_name_H-M 'P 1'
_symmetry_Int_Tables_number 1
_cell_length_a 6.553
_cell_length_b 6.553
_cell_length_c 9.251
_cell_angle_alpha 90.00
_cell_angle_beta 90.00
_cell_angle_gamma 120.00
loop_
_symmetry_equiv_pos_as_xyz
'x,y,z'
loop_
_atom_site_label
_atom_site_fract_x
_atom_site_fract_y
_atom_site_fract_z
Ba1 0.333 0.667 0.048
Ba2 0.667 0.333 0.548
Ba3 0.667 0.333 0.952
Ba4 0.333 0.667 0.452
Ta1 0.000 0.000 0.000
Ta2 0.000 0.000 0.500
Ta3 0.863 0.725 0.250
Ta4 0.137 0.275 0.750
Ta5 0.275 0.137 0.250
Ta6 0.863 0.137 0.250
Ta7 0.137 0.863 0.750
Ta8 0.725 0.863 0.750
# **Distance to the lowest polymorph of the same formula**: 287 meV/atom
# **Calculated density**: 9.64 Mg/m³
# **Raw total energy**: -92.52 eV for the cell shown



# PBE-GGA GaHg2Ge, optimized geometry
data_GaHg2Ge
_chemical_formula_sum 'Ga1 Hg2 Ge1'
_symmetry_space_group_name_H-M 'P 1'
_symmetry_Int_Tables_number 1
_cell_length_a 3.134
_cell_length_b 3.134
_cell_length_c 10.868
_cell_angle_alpha 81.71
_cell_angle_beta 81.71
_cell_angle_gamma 60.00
loop_
_symmetry_equiv_pos_as_xyz
'x,y,z'
loop_
_atom_site_label
_atom_site_fract_x
_atom_site_fract_y
_atom_site_fract_z
Ge1 0.000 0.000 0.000
Hg1 0.087 0.087 0.738
Hg2 0.913 0.913 0.262
Ga1 0.500 0.500 0.500
# **Calculated density**: 9.90 Mg/m³
# **Raw total energy**: -7.55 eV for the cell shown



# PBE-GGA Al4CO, optimized geometry
data_Al4CO
_chemical_formula_sum 'Al4 C1 O1'
_symmetry_space_group_name_H-M 'P 1'
_symmetry_Int_Tables_number 1
_cell_length_a 2.584
_cell_length_b 4.080
_cell_length_c 11.287
_cell_angle_alpha 85.75
_cell_angle_beta 96.57
_cell_angle_gamma 129.28
loop_
_symmetry_equiv_pos_as_xyz
'x,y,z'
loop_
_atom_site_label
_atom_site_fract_x
_atom_site_fract_y
_atom_site_fract_z
Al1 0.328 0.542 0.573
Al2 0.517 0.044 0.946
Al3 0.123 0.542 0.161
Al4 0.721 0.040 0.362
C1 0.885 0.041 0.689
O1 0.426 0.041 0.769
# **Distance to the lowest polymorph of the same formula**: 801 meV/atom
# **Calculated density**: 2.47 Mg/m³
# **Formation energy without anion corrections**: 0.3234 eV per atom
# **Raw total energy**: -27.21 eV for the cell shown



# PBE-GGA Tb12Er5Hg2, optimized geometry
data_Tb12Er5Hg2
_chemical_formula_sum 'Tb12 Er5 Hg2'
_symmetry_space_group_name_H-M 'P 1'
_symmetry_Int_Tables_number 1
_cell_length_a 9.199
_cell_length_b 9.005
_cell_length_c 8.324
_cell_angle_alpha 93.21
_cell_angle_beta 90.00
_cell_angle_gamma 120.71
loop_
_symmetry_equiv_pos_as_xyz
'x,y,z'
loop_
_atom_site_label
_atom_site_fract_x
_atom_site_fract_y
_atom_site_fract_z
Tb1 0.905 0.811 0.111
Tb2 0.023 0.676 0.760
Tb3 0.653 0.676 0.760
Tb4 0.192 0.769 0.372
Tb5 0.577 0.769 0.372
Tb6 0.450 0.900 0.728
Tb7 0.550 0.100 0.272
Tb8 0.808 0.231 0.628
Tb9 0.423 0.231 0.628
Tb10 0.977 0.324 0.240
Tb11 0.347 0.324 0.240
Tb12 0.095 0.189 0.889
Er1 0.239 0.478 0.595
Er2 0.320 0.640 0.021
Er3 0.000 0.000 0.500
Er4 0.680 0.360 0.979
Er5 0.761 0.522 0.405
Hg1 0.718 0.000 0.000
Hg2 0.282 0.000 0.000
# **Calculated density**: 8.83 Mg/m³
# **Raw total energy**: -78.76 eV for the cell shown



# PBE-GGA SnOsIO2, optimized geometry
data_SnOsIO2
_chemical_formula_sum 'Sn1 Os1 I1 O2'
_symmetry_space_group_name_H-M 'P 1'
_symmetry_Int_Tables_number 1
_cell_length_a 3.939
_cell_length_b 3.939
_cell_length_c 6.880
_cell_angle_alpha 90.00
_cell_angle_beta 90.00
_cell_angle_gamma 90.00
loop_
_symmetry_equiv_pos_as_xyz
'x,y,z'
loop_
_atom_site_label
_atom_site_fract_x
_atom_site_fract_y
_atom_site_fract_z
I1 0.000 0.000 0.500
Os1 0.500 0.500 0.500
Sn1 0.000 0.000 0.000
O1 0.000 0.500 0.000
O2 0.500 0.000 0.000
# **Distance to the lowest polymorph of the same formula**: 374 meV/atom
# **Calculated density**: 7.28 Mg/m³
# **Formation energy without anion corrections**: 0.4698 eV per atom
# **Raw total energy**: -24.35 eV for the cell shown



# PBE-GGA ScCoMo2, optimized geometry
data_ScCoMo2
_chemical_formula_sum 'Sc1 Co1 Mo2'
_symmetry_space_group_name_H-M 'P 1'
_symmetry_Int_Tables_number 1
_cell_length_a 3.164
_cell_length_b 3.164
_cell_length_c 6.460
_cell_angle_alpha 90.00
_cell_angle_beta 90.00
_cell_angle_gamma 90.00
loop_
_symmetry_equiv_pos_as_xyz
'x,y,z'
loop_
_atom_site_label
_atom_site_fract_x
_atom_site_fract_y
_atom_site_fract_z
Co1 0.500 0.500 0.750
Mo1 0.000 0.000 0.947
Mo2 0.000 0.000 0.553
Sc1 0.500 0.500 0.250
# **Distance to the lowest polymorph of the same formula**: 233 meV/atom
# **Calculated density**: 7.59 Mg/m³
# **Raw total energy**: -34.10 eV for the cell shown



# PBE-GGA BaCoRu2, optimized geometry
data_BaCoRu2
_chemical_formula_sum 'Ba1 Co1 Ru2'
_symmetry_space_group_name_H-M 'P 1'
_symmetry_Int_Tables_number 1
_cell_length_a 4.699
_cell_length_b 4.699
_cell_length_c 4.699
_cell_angle_alpha 60.00
_cell_angle_beta 60.00
_cell_angle_gamma 60.00
loop_
_symmetry_equiv_pos_as_xyz
'x,y,z'
loop_
_atom_site_label
_atom_site_fract_x
_atom_site_fract_y
_atom_site_fract_z
Ru1 0.250 0.250 0.250
Ru2 0.750 0.750 0.750
Co1 0.000 0.000 0.000
Ba1 0.500 0.500 0.500
# **Distance to the lowest polymorph of the same formula**: 778 meV/atom
# **Calculated density**: 9.02 Mg/m³
# **Raw total energy**: -23.16 eV for the cell shown



# PBE-GGA SmMgAg3, optimized geometry
data_SmMgAg3
_chemical_formula_sum 'Sm4 Mg4 Ag12'
_symmetry_space_group_name_H-M 'P 1'
_symmetry_Int_Tables_number 1
_cell_length_a 4.973
_cell_length_b 9.613
_cell_length_c 9.142
_cell_angle_alpha 90.00
_cell_angle_beta 90.00
_cell_angle_gamma 90.00
loop_
_symmetry_equiv_pos_as_xyz
'x,y,z'
loop_
_atom_site_label
_atom_site_fract_x
_atom_site_fract_y
_atom_site_fract_z
Sm1 0.750 0.777 0.007
Sm2 0.250 0.723 0.507
Sm3 0.750 0.277 0.493
Sm4 0.250 0.223 0.993
Mg1 0.250 0.071 0.643
Mg2 0.250 0.571 0.857
Mg3 0.750 0.429 0.143
Mg4 0.750 0.929 0.357
Ag1 0.250 0.631 0.149
Ag2 0.750 0.369 0.851
Ag3 0.250 0.131 0.351
Ag4 0.750 0.869 0.649
Ag5 0.250 0.371 0.658
Ag6 0.750 0.129 0.158
Ag7 0.250 0.871 0.842
Ag8 0.750 0.579 0.655
Ag9 0.250 0.421 0.345
Ag10 0.750 0.079 0.845
Ag11 0.750 0.629 0.342
Ag12 0.250 0.921 0.155
# **Calculated density**: 7.57 Mg/m³
# **Raw total energy**: -63.39 eV for the cell shown



# PBE-GGA Li6CaCd, optimized geometry
data_Li6CaCd
_chemical_formula_sum 'Li6 Ca1 Cd1'
_symmetry_space_group_name_H-M 'P 1'
_symmetry_Int_Tables_number 1
_cell_length_a 5.584
_cell_length_b 5.584
_cell_length_c 5.584
_cell_angle_alpha 90.00
_cell_angle_beta 90.00
_cell_angle_gamma 90.00
loop_
_symmetry_equiv_pos_as_xyz
'x,y,z'
loop_
_atom_site_label
_atom_site_fract_x
_atom_site_fract_y
_atom_site_fract_z
Li1 0.500 0.771 0.000
Li2 0.771 0.000 0.500
Li3 0.000 0.500 0.229
Li4 0.229 0.000 0.500
Li5 0.500 0.229 0.000
Li6 0.000 0.500 0.771
Ca1 0.500 0.500 0.500
Cd1 0.000 0.000 0.000
# **Distance to the lowest polymorph of the same formula**: 41 meV/atom
# **Calculated density**: 1.85 Mg/m³
# **Raw total energy**: -14.43 eV for the cell shown



# PBE-GGA Cd43Pd8, optimized geometry
data_Cd43Pd8
_chemical_formula_sum 'Cd43 Pd8'
_symmetry_space_group_name_H-M 'P 1'
_symmetry_Int_Tables_number 1
_cell_length_a 10.149
_cell_length_b 10.149
_cell_length_c 10.149
_cell_angle_alpha 90.20
_cell_angle_beta 90.20
_cell_angle_gamma 90.20
loop_
_symmetry_equiv_pos_as_xyz
'x,y,z'
loop_
_atom_site_label
_atom_site_fract_x
_atom_site_fract_y
_atom_site_fract_z
Cd1 0.604 0.604 0.604
Cd2 0.393 0.393 0.604
Cd3 0.393 0.604 0.393
Cd4 0.604 0.393 0.393
Cd5 0.857 0.501 0.501
Cd6 0.501 0.857 0.501
Cd7 0.501 0.501 0.857
Cd8 0.139 0.495 0.495
Cd9 0.495 0.139 0.495
Cd10 0.495 0.495 0.139
Cd11 0.285 0.285 0.053
Cd12 0.053 0.285 0.285
Cd13 0.285 0.053 0.285
Cd14 0.698 0.698 0.051
Cd15 0.954 0.695 0.307
Cd16 0.695 0.954 0.307
Cd17 0.695 0.307 0.954
Cd18 0.954 0.307 0.695
Cd19 0.698 0.051 0.698
Cd20 0.307 0.695 0.954
Cd21 0.051 0.698 0.698
Cd22 0.307 0.954 0.695
Cd23 0.807 0.807 0.549
Cd24 0.549 0.807 0.807
Cd25 0.807 0.549 0.807
Cd26 0.191 0.191 0.539
Cd27 0.454 0.196 0.808
Cd28 0.196 0.454 0.808
Cd29 0.196 0.808 0.454
Cd30 0.454 0.808 0.196
Cd31 0.191 0.539 0.191
Cd32 0.808 0.196 0.454
Cd33 0.539 0.191 0.191
Cd34 0.808 0.454 0.196
Cd35 0.354 0.003 0.003
Cd36 0.003 0.354 0.003
Cd37 0.003 0.003 0.354
Cd38 0.646 0.000 0.000
Cd39 0.000 0.646 0.000
Cd40 0.000 0.000 0.646
Cd41 0.907 0.907 0.109
Cd42 0.907 0.109 0.907
Cd43 0.109 0.907 0.907
Pd1 0.833 0.833 0.833
Pd2 0.173 0.173 0.819
Pd3 0.173 0.819 0.173
Pd4 0.819 0.173 0.173
Pd5 0.328 0.328 0.328
Pd6 0.672 0.672 0.330
Pd7 0.672 0.330 0.672
Pd8 0.330 0.672 0.672
# **Calculated density**: 9.03 Mg/m³
# **Raw total energy**: -89.48 eV for the cell shown



# PBE-GGA SnRh2C, optimized geometry
data_SnRh2C
_chemical_formula_sum 'Sn2 Rh4 C2'
_symmetry_space_group_name_H-M 'P 1'
_symmetry_Int_Tables_number 1
_cell_length_a 5.397
_cell_length_b 5.397
_cell_length_c 6.124
_cell_angle_alpha 63.86
_cell_angle_beta 63.86
_cell_angle_gamma 90.00
loop_
_symmetry_equiv_pos_as_xyz
'x,y,z'
loop_
_atom_site_label
_atom_site_fract_x
_atom_site_fract_y
_atom_site_fract_z
C1 0.500 0.500 0.000
C2 0.250 0.750 0.500
Rh1 0.512 0.125 0.250
Rh2 0.238 0.625 0.250
Rh3 0.375 0.488 0.750
Rh4 0.875 0.762 0.750
Sn1 0.000 0.000 0.000
Sn2 0.750 0.250 0.500
# **Distance to the lowest polymorph of the same formula**: 0 meV/atom
# **Calculated density**: 8.01 Mg/m³
# **Raw total energy**: -54.38 eV for the cell shown